(1)
Compound: DyBe3Co
Source: Alexandria
Functional: PBE
Structure: optimized geometry

Output
Its space group is Pm-3m, No. 221. As for the final energy: -23.36 eV/cell.

Cell lengths 4.069, 4.069, 4.069 Å; angles 90.00, 90.00, 90.00 degrees
Positions (direct):
Dy: 0.500 0.500 0.500
Be: 0.500 0.000 0.000
Be: 0.000 0.500 0.000
Be: 0.000 0.000 0.500
Co: 0.000 0.000 0.000


(2)
Compound: TlP
Source: Alexandria
Functional: PBE
Structure: optimized geometry

Output
Its space group is Pmn2_1, No. 31. As for the final energy: -41.64 eV/cell.

Cell lengths 12.160, 4.249, 7.662 Å; angles 90.00, 90.00, 90.00 degrees
Positions (direct):
Tl: 0.211 0.152 0.333
Tl: 0.000 0.463 0.601
Tl: 0.289 0.848 0.833
Tl: 0.789 0.152 0.333
Tl: 0.711 0.848 0.833
Tl: 0.500 0.537 0.101
P: 0.000 0.960 0.384
P: 0.291 0.651 0.176
P: 0.709 0.651 0.176
P: 0.209 0.349 0.676
P: 0.791 0.349 0.676
P: 0.500 0.040 0.884


(3)
Compound: Rb2Zn7Au12
Source: Alexandria
Functional: PBE
Structure: optimized geometry

Output
Its space group is P-3, No. 147. As for the final energy: -53.16 eV/cell.

Cell lengths 4.434, 10.542, 10.542 Å; angles 120.00, 90.00, 90.00 degrees
Positions (direct):
Au: 0.758 0.054 0.442
Au: 0.213 0.746 0.873
Au: 0.242 0.442 0.388
Au: 0.242 0.946 0.558
Au: 0.787 0.873 0.746
Au: 0.758 0.388 0.946
Au: 0.242 0.612 0.054
Au: 0.213 0.127 0.254
Au: 0.787 0.254 0.127
Au: 0.758 0.558 0.612
Au: 0.213 0.127 0.873
Au: 0.787 0.873 0.127
Zn: 0.722 0.284 0.391
Zn: 0.278 0.391 0.107
Zn: 0.722 0.609 0.893
Zn: 0.278 0.716 0.609
Zn: 0.278 0.893 0.284
Zn: 0.500 0.000 0.000
Zn: 0.722 0.107 0.716
Rb: 0.759 0.667 0.333
Rb: 0.241 0.333 0.667


(4)
Compound: BaCoBr2
Source: Alexandria
Functional: PBE
Structure: optimized geometry

Output
Its space group is I-4m2, No. 119. The formation energy (no corrections) is -462 meV per atom.

Cell lengths 6.602, 6.602, 6.602 Å; angles 140.00, 140.00, 57.86 degrees
Last column: magnetic moment on the atom in μB.
Positions (direct):
Br: 0.000 0.000 0.000  0.01
Br: 0.250 0.750 0.500  0.00
Ba: 0.750 0.250 0.500  -0.03
Co: 0.500 0.500 0.000  1.95


(5)
Compound: CoW2Au
Source: Alexandria
Functional: PBE
Structure: optimized geometry

Output
Its space group is F-43m, No. 216. As for the final energy: -34.31 eV/cell.

Cell lengths 4.423, 4.423, 4.423 Å; angles 60.00, 60.00, 60.00 degrees
Last column: magnetic moment on the atom in μB.
Positions (direct):
Co: 0.750 0.750 0.750  0.41
W: 0.000 0.000 0.000  0.01
W: 0.250 0.250 0.250  0.04
Au: 0.500 0.500 0.500  0.00


(6)
Compound: Ba2MnHg
Source: Alexandria
Functional: PBE
Structure: optimized geometry

Output
Its space group is Fm-3m, No. 225. As for the final energy: -12.86 eV/cell.

Cell lengths 5.899, 5.899, 5.899 Å; angles 60.00, 60.00, 60.00 degrees
Last column: magnetic moment on the atom in μB.
Positions (direct):
Mn: 0.000 0.000 0.000  4.06
Ba: 0.250 0.250 0.250  -0.06
Ba: 0.750 0.750 0.750  -0.06
Hg: 0.500 0.500 0.500  -0.03


(7)
Compound: AcDy2Hg2Pb2
Source: Alexandria
Functional: PBE
Structure: optimized geometry

Output
Its space group is R-3m, No. 166. As for the final energy: -23.24 eV/cell.

Cell lengths 5.166, 5.166, 9.671 Å; angles 74.51, 74.51, 60.00 degrees
Positions (direct):
Hg: 0.560 0.560 0.320
Hg: 0.440 0.440 0.680
Dy: 0.867 0.867 0.400
Dy: 0.133 0.133 0.600
Pb: 0.264 0.264 0.208
Pb: 0.736 0.736 0.792
Ac: 0.000 0.000 0.000


(8)
Compound: ScTc2P
Source: Alexandria
Functional: PBE
Structure: optimized geometry

Output
Its space group is Cmmm, No. 65. As for the final energy: -32.90 eV/cell.

Cell lengths 2.943, 2.943, 7.865 Å; angles 90.00, 90.00, 113.26 degrees
Positions (direct):
P: 0.500 0.500 0.500
Tc: 0.000 0.000 0.289
Tc: 0.000 0.000 0.711
Sc: 0.500 0.500 0.000


(9)
Compound: PtSN2O
Source: Alexandria
Functional: PBE
Structure: optimized geometry

Output
Its space group is P4/mmm, No. 123. The formation energy (no corrections) is 2185 meV per atom.

Cell lengths 3.773, 3.773, 3.772 Å; angles 90.00, 90.00, 90.00 degrees
Positions (direct):
N: 0.500 0.000 0.000
N: 0.000 0.500 0.000
Pt: 0.500 0.500 0.500
O: 0.000 0.000 0.000
S: 0.000 0.000 0.500


(10)
Compound: Er7Te4P4
Source: Alexandria
Functional: PBE
Structure: optimized geometry

Output
Its space group is I4/mmm, No. 139. The formation energy (no corrections) is -1268 meV per atom.

Cell lengths 7.309, 10.908, 10.908 Å; angles 83.56, 70.43, 70.43 degrees
Last column: magnetic moment on the atom in μB.
Positions (direct):
Er: 0.243 0.000 0.000  0.01
Er: 0.000 0.293 0.707  0.07
Er: 0.718 0.000 0.565  0.03
Er: 0.718 0.565 0.000  0.03
Er: 0.757 0.000 0.000  0.01
Er: 0.500 0.634 0.366  0.15
Er: 0.866 0.634 0.634  0.15
Er: 0.293 0.707 0.707  0.07
Er: 0.707 0.293 0.293  0.07
Er: 0.134 0.366 0.366  0.15
Er: 0.282 0.435 0.000  0.03
Er: 0.500 0.366 0.634  0.15
Er: 0.000 0.707 0.293  0.07
Er: 0.282 0.000 0.435  0.03
Te: 0.127 0.000 0.746  0.00
Te: 0.668 0.832 0.832  0.00
Te: 0.332 0.168 0.168  0.00
Te: 0.500 0.832 0.168  0.00
Te: 0.500 0.168 0.832  0.00
Te: 0.873 0.000 0.254  0.00
Te: 0.873 0.254 0.000  0.00
Te: 0.127 0.746 0.000  0.00
P: 0.606 0.500 0.787  0.00
P: 0.894 0.500 0.213  0.00
P: 0.894 0.213 0.500  0.00
P: 0.106 0.787 0.500  0.00
P: 0.106 0.500 0.787  0.00
P: 0.394 0.213 0.500  0.00
P: 0.394 0.500 0.213  0.00
P: 0.606 0.787 0.500  0.00


(11)
Compound: SrCoOs2
Source: Alexandria
Functional: PBE
Structure: optimized geometry

Output
Its space group is R3m, No. 160. As for the final energy: -30.18 eV/cell.

Cell lengths 4.278, 4.278, 6.034 Å; angles 69.29, 69.29, 59.99 degrees
Last column: magnetic moment on the atom in μB.
Positions (direct):
Co: 0.309 0.309 0.074  1.53
Os: 0.005 0.005 0.984  0.10
Os: 0.688 0.688 0.937  0.06
Sr: 0.498 0.498 0.504  -0.01


(12)
Compound: TbTmMgSn
Source: Alexandria
Functional: PBE
Structure: optimized geometry

Output
Its space group is F-43m, No. 216. As for the final energy: -16.22 eV/cell.

Cell lengths 5.274, 5.274, 5.274 Å; angles 60.00, 60.00, 60.00 degrees
Positions (direct):
Tb: 0.000 0.000 0.000
Sn: 0.250 0.250 0.250
Tm: 0.500 0.500 0.500
Mg: 0.750 0.750 0.750


(13)
Compound: SiTeW2
Source: Alexandria
Functional: PBE
Structure: optimized geometry

Output
Its space group is Immm, No. 71. The formation energy (no corrections) is 699 meV per atom.

Cell lengths 5.116, 5.116, 5.116 Å; angles 140.93, 121.88, 72.27 degrees
Positions (direct):
Te: 0.250 0.750 0.500
W: 0.541 0.541 0.000
W: 0.959 0.959 0.000
Si: 0.750 0.250 0.500


(14)
Compound: SbBr4
Source: Alexandria
Functional: PBE
Structure: optimized geometry

Output
Its space group is P4_2/nmc, No. 137. The formation energy (no corrections) is -387 meV per atom.

Cell lengths 7.827, 7.827, 7.662 Å; angles 90.00, 90.00, 90.00 degrees
Positions (direct):
Br: 0.720 0.000 0.176
Br: 0.500 0.220 0.676
Br: 0.000 0.280 0.824
Br: 0.280 0.000 0.176
Br: 0.000 0.720 0.824
Br: 0.780 0.500 0.324
Br: 0.500 0.780 0.676
Br: 0.220 0.500 0.324
Sb: 0.000 0.000 0.000
Sb: 0.500 0.500 0.500


(15)
Compound: RbMnAg2Se4
Source: Alexandria
Functional: PBE
Structure: optimized geometry

Output
Its space group is I222, No. 23. The formation energy (no corrections) is -354 meV per atom.

Cell lengths 6.945, 6.722, 6.722 Å; angles 86.07, 58.89, 58.89 degrees
Last column: magnetic moment on the atom in μB.
Positions (direct):
Rb: 0.000 0.000 0.000  0.00
Se: 0.000 0.836 0.535  -0.08
Se: 0.370 0.164 0.465  -0.08
Se: 0.630 0.535 0.836  -0.08
Se: 0.000 0.465 0.164  -0.08
Mn: 0.000 0.500 0.500  2.30
Ag: 0.500 0.749 0.251  -0.03
Ag: 0.500 0.251 0.749  -0.03


(16)
Compound: La3BiPt
Source: Alexandria
Functional: PBE
Structure: optimized geometry

Output
Its space group is Pnma, No. 62. As for the final energy: -117.10 eV/cell.

Cell lengths 4.586, 8.378, 17.037 Å; angles 90.00, 90.00, 90.00 degrees
Positions (direct):
La: 0.250 0.010 0.405
La: 0.750 0.990 0.595
La: 0.250 0.358 0.551
La: 0.250 0.665 0.707
La: 0.250 0.510 0.095
La: 0.750 0.142 0.051
La: 0.750 0.490 0.905
La: 0.750 0.642 0.449
La: 0.250 0.165 0.793
La: 0.750 0.835 0.207
La: 0.250 0.858 0.949
La: 0.750 0.335 0.293
Pt: 0.250 0.772 0.541
Pt: 0.750 0.228 0.459
Pt: 0.750 0.728 0.041
Pt: 0.250 0.272 0.959
Bi: 0.250 0.130 0.200
Bi: 0.750 0.370 0.700
Bi: 0.750 0.870 0.800
Bi: 0.250 0.630 0.300


(17)
Compound: GaPF
Source: Alexandria
Functional: PBE
Structure: optimized geometry

Output
Its space group is Cmc2_1, No. 36. The formation energy (no corrections) is -846 meV per atom.

Cell lengths 2.849, 5.917, 6.643 Å; angles 90.00, 102.38, 90.00 degrees
Positions (direct):
Ga: 0.804 0.719 0.607
Ga: 0.196 0.219 0.393
F: 0.094 0.427 0.189
F: 0.906 0.927 0.811
P: 0.361 0.395 0.721
P: 0.639 0.895 0.279


(18)
Compound: LiBN2F
Source: Alexandria
Functional: PBE
Structure: optimized geometry

Output
Its space group is P4/mmm, No. 123. The formation energy (no corrections) is -273 meV per atom.

Cell lengths 2.991, 2.991, 6.107 Å; angles 90.00, 90.00, 90.00 degrees
Last column: magnetic moment on the atom in μB.
Positions (direct):
N: 0.500 0.000 0.000  0.17
N: 0.000 0.500 0.000  0.17
Li: 0.500 0.500 0.500  0.00
B: 0.000 0.000 0.000  -0.01
F: 0.000 0.000 0.500  0.00


(19)
Compound: Tb4Pm10Th
Source: Alexandria
Functional: PBE
Structure: optimized geometry

Output
Its space group is I4/m, No. 87. As for the final energy: -66.58 eV/cell.

Cell lengths 10.971, 8.944, 8.944 Å; angles 67.90, 52.17, 52.17 degrees
Positions (direct):
Pm: 0.053 0.343 0.897
Pm: 0.605 0.103 0.343
Pm: 0.293 0.657 0.103
Pm: 0.947 0.657 0.103
Pm: 0.395 0.897 0.657
Pm: 0.707 0.343 0.897
Pm: 0.750 0.500 0.500
Pm: 0.250 0.500 0.500
Pm: 0.950 0.103 0.343
Pm: 0.050 0.897 0.657
Tb: 0.781 0.779 0.659
Tb: 0.219 0.221 0.341
Tb: 0.560 0.659 0.221
Tb: 0.440 0.341 0.779
Th: 0.000 0.000 0.000


(20)
Compound: FePb2
Source: Alexandria
Functional: PBE
Structure: optimized geometry

Output
Its space group is P4_2/mnm, No. 136. As for the final energy: -29.22 eV/cell.

Cell lengths 6.587, 6.587, 3.449 Å; angles 90.00, 90.00, 90.00 degrees
Last column: magnetic moment on the atom in μB.
Positions (direct):
Pb: 0.219 0.219 0.500  -0.09
Pb: 0.719 0.281 0.000  -0.09
Pb: 0.781 0.781 0.500  -0.09
Pb: 0.281 0.719 0.000  -0.09
Fe: 0.000 0.000 0.000  1.51
Fe: 0.500 0.500 0.500  1.51